Entry 1:
Computed, not measured: crystalline CdIn6Pb10 at its relaxed geometry at the PBE-GGA level of DFT.

Geometry as POSCAR:
```
CdIn6Pb10
1.0
7.034 0.000 0.000
0.000 7.995 -4.616
0.000 0.000 9.232
In Pb Cd
6 10 1
Cartesian
1.951 0.000 3.694
5.083 0.000 5.538
5.083 3.199 1.847
1.951 3.199 -1.847
5.083 4.796 -2.769
1.951 4.796 2.769
0.000 2.665 4.616
1.285 1.943 1.122
5.749 0.000 2.243
5.749 1.943 -1.122
5.749 6.053 3.494
3.517 5.330 0.000
1.285 6.053 -3.494
1.285 0.000 6.989
3.517 2.665 4.616
0.000 5.330 0.000
3.517 0.000 0.000
```

Output
Its total magnetization is 0.00 μB/cell. For the calculated total energy, the calculation gives -3.14 eV/atom.

Entry 2:
Computed, not measured: crystalline CdIn2Pb at its relaxed geometry at the PBE-GGA level of DFT.

Geometry as POSCAR:
```
CdIn2Pb
1.0
-2.110 1.979 -5.684
2.062 -3.105 -5.175
-3.120 -0.426 5.546
In Cd Pb
2 1 1
Cartesian
-0.047 -1.111 -10.711
-0.025 -0.578 -5.578
-2.627 0.495 -2.784
-0.541 -2.047 -2.529
```

Output
Its total magnetization is 0.00 μB/cell. For the calculated total energy, the calculation gives -2.48 eV/atom.

Entry 3:
Computed, not measured: crystalline CdIn2Pb at its relaxed geometry at the PBE-GGA level of DFT.

Geometry as POSCAR:
```
CdIn2Pb
1.0
5.729 -0.040 -0.027
4.684 3.299 -0.027
1.036 0.324 5.739
In Cd Pb
2 1 1
Cartesian
2.866 0.897 1.378
1.076 0.337 5.717
8.573 2.683 4.303
5.697 1.783 2.870
```

Output
Its total magnetization is 0.00 μB/cell. For the calculated total energy, the calculation gives -2.50 eV/atom.

Entry 4:
Computed, not measured: crystalline Cd6InPb at its relaxed geometry at the PBE-GGA level of DFT.

Geometry as POSCAR:
```
Cd6InPb
1.0
-3.002 3.384 -0.558
0.551 -0.256 -4.517
-7.055 -6.342 -0.502
Cd Pb In
6 1 1
Cartesian
-1.225 1.564 -2.538
-1.536 -1.757 -2.387
-4.968 -4.842 -2.631
-3.313 0.063 -0.408
-6.744 -3.022 -0.652
-4.753 -1.607 -2.788
0.000 0.000 0.000
-3.527 -3.171 -0.251
```

Output
Its total magnetization is 0.00 μB/cell. For the calculated total energy, the calculation gives -1.45 eV/atom. The calculation puts the excess energy over the best structure of this formula in the dataset at 0.0058 eV/atom.

Entry 5:
Computed, not measured: crystalline CdIn3Pb12 at its relaxed geometry at the PBE-GGA level of DFT.

Geometry as POSCAR:
```
CdIn3Pb12
1.0
4.857 0.000 0.000
0.000 4.857 0.000
0.000 0.000 20.605
Pb In Cd
12 3 1
Cartesian
0.000 2.428 12.908
2.428 0.000 12.908
0.000 2.428 7.697
2.428 0.000 18.094
2.428 0.000 2.511
2.428 2.428 5.111
2.428 2.428 10.302
2.428 2.428 15.494
2.428 2.428 0.000
2.428 0.000 7.697
0.000 2.428 2.511
0.000 2.428 18.094
0.000 0.000 15.505
0.000 0.000 10.302
0.000 0.000 5.100
0.000 0.000 0.000
```

Output
Its total magnetization is 0.00 μB/cell. For the calculated total energy, the calculation gives -3.34 eV/atom.

Entry 6:
Computed, not measured: crystalline CdInPb2 at its relaxed geometry at the PBE-GGA level of DFT.

Geometry as POSCAR:
```
CdInPb2
1.0
-2.977 -4.068 2.093
-3.016 0.846 4.470
-5.444 0.134 -0.367
Cd Pb In
1 2 1
Cartesian
0.000 0.000 0.000
-8.578 -2.316 4.647
-2.859 -0.772 1.549
-5.719 -1.544 3.098
```

Output
Its total magnetization is 0.00 μB/cell. For the calculated total energy, the calculation gives -2.71 eV/atom. The calculation puts the excess energy over the best structure of this formula in the dataset at 0.0314 eV/atom.

Entry 7:
Computed, not measured: crystalline CdIn5Pb6 at its relaxed geometry at the PBE-GGA level of DFT.

Geometry as POSCAR:
```
CdIn5Pb6
1.0
-0.631 4.485 1.180
-7.309 -2.631 6.087
4.694 1.455 6.265
Pb In Cd
6 5 1
Cartesian
1.217 1.064 5.891
-2.465 -0.262 8.957
-5.825 0.260 5.178
-2.116 1.595 2.089
-4.463 2.245 7.642
-0.781 3.571 4.575
-3.655 -1.315 3.044
-2.300 0.664 5.526
2.723 3.957 4.980
1.340 1.982 2.465
-0.946 2.644 8.007
0.000 0.000 0.000
```

Output
Its total magnetization is 0.00 μB/cell. For the calculated total energy, the calculation gives -3.05 eV/atom.

Entry 8:
Computed, not measured: crystalline CdInPb2 at its relaxed geometry at the PBE-GGA level of DFT.

Geometry as POSCAR:
```
CdInPb2
1.0
5.464 0.000 0.000
2.732 4.732 0.000
2.732 1.577 4.461
Cd Pb In
1 2 1
Cartesian
5.464 3.155 2.231
0.000 0.000 0.000
2.732 1.577 1.115
8.196 4.732 3.346
```

Output
Its total magnetization is 0.00 μB/cell. For the calculated total energy, the calculation gives -2.72 eV/atom. The calculation puts the excess energy over the best structure of this formula in the dataset at 0.0203 eV/atom.

Record order is preserved below.
Energy relative to the elements: 0.07, 0.05, 0.03, 0.04, 0.01, 0.06, 0.02, 0.05 eV/atom